# 1
{"formula": "RuPt", "functional": "PBEsol", "state": "relaxed", "n_ef_per_ev_fu": 2.1, "dft_energy_ev_per_atom": -8.513, "vol_a3_per_cell": 113, "lattice_angstrom": [[-0.223, 4.328, -0.773], [-1.232, 0.741, 4.507], [5.231, 0.510, 1.347]], "species": ["Pt", "Pt", "Pt", "Pt", "Ru", "Ru", "Ru", "Ru"], "fractional_positions": [[0.750, 0.909, 0.622], [0.750, 0.409, 0.878], [0.250, 0.091, 0.378], [0.250, 0.591, 0.122], [0.750, 0.417, 0.373], [0.250, 0.083, 0.873], [0.250, 0.583, 0.627], [0.750, 0.917, 0.127]]}



# 2
{"formula": "KFeSn2As", "functional": "PBEsol", "state": "relaxed", "n_ef_per_ev_fu": 5.2, "dft_energy_ev_per_atom": -4.283, "vol_a3_per_cell": 140, "lattice_angstrom": [[4.440, 0.000, 0.000], [0.000, 5.611, 0.000], [0.000, 0.000, 5.611]], "species": ["Fe", "As", "Sn", "Sn", "K"], "fractional_positions": [[0.500, 0.000, 0.000], [0.000, 0.000, 0.000], [0.000, 0.500, 0.000], [0.000, 0.000, 0.500], [0.500, 0.500, 0.500]]}



# 3
{"formula": "CsGaSe3", "functional": "PBEsol", "state": "relaxed", "n_ef_per_ev_fu": 0.0, "vol_a3_per_cell": 627, "formation_energy_uncorrected_mev_per_atom": -773, "e_above_lowest_polymorph_mev_per_atom": 0, "lattice_angstrom": [[6.714, 0.079, 0.000], [-2.115, 7.289, 0.000], [0.000, 0.000, 12.771]], "species": ["Se", "Se", "Se", "Se", "Se", "Se", "Se", "Se", "Se", "Se", "Se", "Se", "Cs", "Cs", "Cs", "Cs", "Ga", "Ga", "Ga", "Ga"], "fractional_positions": [[0.648, 0.711, 0.428], [0.361, 0.550, 0.325], [0.817, 0.995, 0.670], [0.861, 0.550, 0.175], [0.639, 0.450, 0.675], [0.352, 0.289, 0.572], [0.317, 0.995, 0.830], [0.148, 0.711, 0.072], [0.852, 0.289, 0.928], [0.183, 0.005, 0.330], [0.139, 0.450, 0.825], [0.683, 0.005, 0.170], [0.292, 0.257, 0.080], [0.792, 0.257, 0.420], [0.708, 0.743, 0.920], [0.208, 0.743, 0.580], [0.647, 0.178, 0.773], [0.853, 0.822, 0.273], [0.147, 0.178, 0.727], [0.353, 0.822, 0.227]]}



# 4
{"formula": "Li2GeSbCl", "functional": "PBEsol", "state": "relaxed", "n_ef_per_ev_fu": 0.9, "vol_a3_per_cell": 104, "formation_energy_uncorrected_mev_per_atom": -499, "lattice_angstrom": [[4.443, 0.000, 0.000], [0.000, 4.443, 0.000], [0.000, 0.000, 5.254]], "species": ["Li", "Li", "Cl", "Sb", "Ge"], "fractional_positions": [[0.000, 0.500, 0.000], [0.500, 0.000, 0.000], [0.000, 0.000, 0.000], [0.500, 0.500, 0.500], [0.000, 0.000, 0.500]]}



# 5
{"formula": "Cr2Os", "functional": "PBEsol", "state": "relaxed", "n_ef_per_ev_fu": 2.6, "dft_energy_ev_per_atom": -10.890, "vol_a3_per_cell": 287, "lattice_angstrom": [[4.668, 0.000, 0.000], [-2.334, 4.043, 0.000], [0.000, 0.000, 15.197]], "species": ["Cr", "Cr", "Cr", "Cr", "Cr", "Cr", "Cr", "Cr", "Cr", "Cr", "Cr", "Cr", "Cr", "Cr", "Cr", "Cr", "Os", "Os", "Os", "Os", "Os", "Os", "Os", "Os"], "fractional_positions": [[0.000, 0.500, 0.500], [0.500, 0.000, 0.000], [0.500, 0.500, 0.500], [0.333, 0.667, 0.625], [0.163, 0.325, 0.750], [0.325, 0.163, 0.250], [0.500, 0.500, 0.000], [0.675, 0.837, 0.750], [0.667, 0.333, 0.125], [0.333, 0.667, 0.875], [0.837, 0.163, 0.250], [0.837, 0.675, 0.250], [0.000, 0.500, 0.000], [0.667, 0.333, 0.375], [0.163, 0.837, 0.750], [0.500, 0.000, 0.500], [0.000, 0.000, 0.906], [0.000, 0.000, 0.594], [0.000, 0.000, 0.094], [0.667, 0.333, 0.843], [0.667, 0.333, 0.657], [0.333, 0.667, 0.343], [0.000, 0.000, 0.406], [0.333, 0.667, 0.157]]}



# 6
{"formula": "Ta2MoW", "functional": "PBEsol", "state": "relaxed", "n_ef_per_ev_fu": 3.2, "dft_energy_ev_per_atom": -12.751, "vol_a3_per_cell": 66, "lattice_angstrom": [[-1.061, -0.023, -2.585], [4.053, -0.906, -1.655], [-0.636, -5.132, 1.251]], "species": ["Ta", "Ta", "W", "Mo"], "fractional_positions": [[0.246, 0.000, 0.250], [0.754, 0.000, 0.750], [0.500, 0.500, 0.000], [0.000, 0.500, 0.500]]}



# 7
{"formula": "K2RbTe2", "functional": "PBEsol", "state": "relaxed", "n_ef_per_ev_fu": 1.0, "vol_a3_per_cell": 380, "formation_energy_uncorrected_mev_per_atom": -845, "lattice_angstrom": [[-0.414, -2.290, 2.968], [-5.914, -5.995, -5.451], [8.028, -5.253, -2.932]], "species": ["K", "K", "K", "K", "Te", "Te", "Te", "Te", "Rb", "Rb"], "fractional_positions": [[0.500, 0.377, 0.123], [0.500, 0.623, 0.877], [0.500, 0.123, 0.623], [0.500, 0.877, 0.377], [0.000, 0.827, 0.673], [0.000, 0.327, 0.827], [0.000, 0.173, 0.327], [0.000, 0.673, 0.173], [0.000, 0.000, 0.000], [0.000, 0.500, 0.500]]}



# 8
{"formula": "Ba5Re3ClO15", "functional": "PBEsol", "state": "relaxed", "n_ef_per_ev_fu": 0.0, "vol_a3_per_cell": 804, "formation_energy_uncorrected_mev_per_atom": -2314, "lattice_angstrom": [[7.798, 0.000, 0.000], [0.000, 10.912, 0.000], [0.000, -5.456, 9.450]], "species": ["O", "O", "O", "O", "O", "O", "O", "O", "O", "O", "O", "O", "O", "O", "O", "O", "O", "O", "O", "O", "O", "O", "O", "O", "O", "O", "O", "O", "O", "O", "Re", "Re", "Re", "Re", "Re", "Re", "Ba", "Ba", "Ba", "Ba", "Ba", "Ba", "Ba", "Ba", "Ba", "Ba", "Cl", "Cl"], "fractional_positions": [[0.260, 0.868, 0.421], [0.760, 0.421, 0.553], [0.076, 0.389, 0.256], [0.260, 0.132, 0.553], [0.760, 0.132, 0.579], [0.897, 0.292, 0.000], [0.076, 0.133, 0.744], [0.576, 0.389, 0.133], [0.260, 0.447, 0.579], [0.760, 0.868, 0.447], [0.076, 0.611, 0.867], [0.076, 0.867, 0.611], [0.576, 0.867, 0.256], [0.760, 0.579, 0.132], [0.260, 0.579, 0.447], [0.760, 0.447, 0.868], [0.576, 0.611, 0.744], [0.076, 0.744, 0.133], [0.397, 0.000, 0.708], [0.576, 0.133, 0.389], [0.397, 0.708, 0.000], [0.897, 0.000, 0.292], [0.397, 0.292, 0.292], [0.576, 0.744, 0.611], [0.897, 0.708, 0.708], [0.076, 0.256, 0.389], [0.260, 0.421, 0.868], [0.760, 0.553, 0.421], [0.260, 0.553, 0.132], [0.576, 0.256, 0.867], [0.219, 0.610, 0.000], [0.719, 0.000, 0.390], [0.219, 0.000, 0.610], [0.719, 0.610, 0.610], [0.719, 0.390, 0.000], [0.219, 0.390, 0.390], [0.273, 0.737, 0.737], [0.014, 0.333, 0.667], [0.773, 0.000, 0.737], [0.773, 0.737, 0.000], [0.273, 0.263, 0.000], [0.773, 0.263, 0.263], [0.514, 0.667, 0.333], [0.273, 0.000, 0.263], [0.014, 0.667, 0.333], [0.514, 0.333, 0.667], [0.065, 0.000, 0.000], [0.565, 0.000, 0.000]]}



| no. | magnetization (μB/f.u.) |
| --- | --- |
| 1 | 0.0 |
| 2 | 2.2 |
| 3 | 0.0 |
| 4 | 0.0 |
| 5 | 0.0 |
| 6 | 0.0 |
| 7 | 0.0 |
| 8 | 0.0 |